# TiPRhCl2

A geometry-optimized TiPRhCl2 structure (PBE, Alexandria via LeMat-Bulk).

a b c (Å): 4.5934 4.5934 5.0750
angles (deg): 90.00 90.00 90.00
Fractional coordinates of all 5 atoms:
Ti1 0.0000 0.0000 0.0000
P1 0.0000 0.0000 0.5000
Rh1 0.5000 0.5000 0.5000
Cl1 0.0000 0.5000 0.0000
Cl2 0.5000 0.0000 0.0000

- Crystal system: tetragonal
- Density of states at the Fermi level: 1.37 states/eV/atom
- Raw formation energy: 0.106 eV/atom
- Electronic total energy: -4.76 eV/atom
- Symmetry: P4/mmm